1.
VASP calculation (PBE-GGA) on CaMn2P after structural relaxation.

Output
- space-group type = Pm
- density (g cm⁻³) = 4.116

Cell: 3.837 3.441 5.797 Å, 72.50 90.00 90.00°
Each line ends with the local moment (μB).
Sites, in units of the cell vectors:
Ca (0.500, 0.712, 0.696)  -0.05
Mn (0.000, 0.988, 0.151)  2.70
Mn (0.500, 0.455, 0.217)  2.39
P (0.000, 0.344, 0.435)  -0.09

---

2.
VASP calculation (PBE-GGA) on In6Hg12Bi after structural relaxation.

Output
- space-group type = R-3m
- density (g cm⁻³) = 10.272
- energy above the most stable polymorph in this dataset (kJ/mol of formula units) = 64

Cell: 8.721 8.721 8.721 Å, 108.14 108.14 108.14°
Sites, in units of the cell vectors:
In (0.718, 0.317, 0.317)
In (0.317, 0.317, 0.718)
In (0.317, 0.718, 0.317)
In (0.683, 0.683, 0.282)
In (0.282, 0.683, 0.683)
In (0.683, 0.282, 0.683)
Hg (0.890, 0.110, 0.500)
Hg (0.902, 0.662, 0.662)
Hg (0.662, 0.662, 0.902)
Hg (0.338, 0.098, 0.338)
Hg (0.338, 0.338, 0.098)
Hg (0.098, 0.338, 0.338)
Hg (0.110, 0.500, 0.890)
Hg (0.500, 0.890, 0.110)
Hg (0.110, 0.890, 0.500)
Hg (0.890, 0.500, 0.110)
Hg (0.500, 0.110, 0.890)
Hg (0.662, 0.902, 0.662)
Bi (0.000, 0.000, 0.000)

---

Number 1: DFT total energy -26.29 eV/cell, volume 73.0 Å³ per cell. Number 2: DFT total energy -22.97 eV/cell, volume 534.2 Å³ per cell.